## P
Below is crystalline HgIF3 at its relaxed geometry, with properties calculated at the GGA-PBE level.

Values from the calculation:
volume: 19.559 Å³ per atom
Fermi-level density of states: 3.72 states/eV/cell

a b c (Å): 4.607 4.607 4.607
angles (deg): 90.00 90.00 90.00
Each line ends with the local moment (μB).
Fractional positions:
F 0.000 0.500 0.000  0.12
F 0.500 0.000 0.000  0.17
F 0.000 0.000 0.500  0.17
Hg 0.000 0.000 0.000  0.01
I 0.500 0.500 0.500  1.02

=====

## Q
Below is crystalline HgIF3 at its relaxed geometry, with properties calculated at the GGA-PBE level.

Values from the calculation:
volume: 20.806 Å³ per atom
Fermi-level density of states: 0.20 states/eV/cell

a b c (Å): 4.004 8.179 12.729
angles (deg): 90.00 93.33 90.00
Fractional positions:
F 0.767 0.966 0.921
F 0.767 0.034 0.421
F 0.877 0.340 0.970
F 0.719 0.605 0.676
F 0.233 0.966 0.579
F 0.719 0.395 0.176
F 0.281 0.605 0.824
F 0.123 0.340 0.530
F 0.281 0.395 0.324
F 0.233 0.034 0.079
F 0.877 0.660 0.470
F 0.123 0.660 0.030
Hg 0.741 0.623 0.909
Hg 0.259 0.623 0.591
Hg 0.259 0.377 0.091
Hg 0.741 0.377 0.409
I 0.737 0.030 0.669
I 0.263 0.970 0.331
I 0.263 0.030 0.831
I 0.737 0.970 0.169

=====

Verdict on stability: Q comes out on top.

=====

## P
Below is crystalline HgI2F at its relaxed geometry, with properties calculated at the GGA-PBE level.

Values from the calculation:
volume: 33.062 Å³ per atom
Fermi-level density of states: 2.16 states/eV/cell

a b c (Å): 4.369 4.591 8.187
angles (deg): 121.96 105.51 89.94
Fractional positions:
Hg 0.500 0.009 0.000
I 0.850 0.721 0.699
I 0.150 0.297 0.301
F 0.500 0.509 0.000

=====

## Q
Below is crystalline HgI2F at its relaxed geometry, with properties calculated at the GGA-PBE level.

Values from the calculation:
volume: 25.146 Å³ per atom
Fermi-level density of states: 3.80 states/eV/cell

a b c (Å): 5.220 5.220 5.220
angles (deg): 60.00 60.00 60.00
Each line ends with the local moment (μB).
Fractional positions:
I 0.750 0.750 0.750  0.30
I 0.250 0.250 0.250  0.30
Hg 0.500 0.500 0.500  0.00
F 0.000 0.000 0.000  0.12

=====

## R
Below is crystalline HgI2F at its relaxed geometry, with properties calculated at the GGA-PBE level.

Values from the calculation:
volume: 34.242 Å³ per atom
Fermi-level density of states: 4.85 states/eV/cell

a b c (Å): 7.188 7.188 7.345
angles (deg): 60.70 60.70 90.00
Each line ends with the local moment (μB).
Fractional positions:
I 0.127 0.625 0.250  0.21
I 0.875 0.873 0.750  0.20
I 0.623 0.125 0.250  0.22
I 0.375 0.377 0.750  0.21
F 0.500 0.500 0.000  0.34
F 0.250 0.750 0.500  0.34
Hg 0.000 0.000 0.000  0.01
Hg 0.750 0.250 0.500  0.01

=====

Verdict on stability: P comes out on top.

=====

## P
Below is crystalline K2HgIF at its relaxed geometry, with properties calculated at the GGA-PBE level.

Values from the calculation:
volume: 33.494 Å³ per atom
Fermi-level density of states: 0.00 states/eV/cell

a b c (Å): 5.460 5.460 5.618
angles (deg): 90.00 90.00 90.00
Fractional positions:
K 0.500 0.000 0.000
K 0.000 0.500 0.000
Hg 0.000 0.000 0.500
I 0.500 0.500 0.500
F 0.000 0.000 0.000

=====

## Q
Below is crystalline K2HgIF at its relaxed geometry, with properties calculated at the GGA-PBE level.

Values from the calculation:
volume: 60.547 Å³ per atom
Fermi-level density of states: 0.00 states/eV/cell

a b c (Å): 6.698 6.749 6.698
angles (deg): 90.00 90.00 90.00
Fractional positions:
K 0.500 0.000 0.000
K 0.000 0.000 0.500
I 0.000 0.000 0.000
Hg 0.000 0.500 0.000
F 0.500 0.500 0.500

=====

Verdict on stability: P comes out on top.

=====

## P
Below is crystalline LiHg2IF at its relaxed geometry, with properties calculated at the GGA-PBE level.

Values from the calculation:
volume: 30.407 Å³ per atom
Fermi-level density of states: 7.31 states/eV/cell

a b c (Å): 5.477 5.069 5.477
angles (deg): 90.00 90.00 90.00
Each line ends with the local moment (μB).
Fractional positions:
Hg 0.500 0.000 0.000  0.04
Hg 0.000 0.000 0.500  0.02
I 0.000 0.500 0.000  0.09
Li 0.000 0.000 0.000  0.00
F 0.500 0.500 0.500  0.29

=====

## Q
Below is crystalline LiHg2IF at its relaxed geometry, with properties calculated at the GGA-PBE level.

Values from the calculation:
volume: 41.993 Å³ per atom
Fermi-level density of states: 1.20 states/eV/cell

a b c (Å): 6.749 4.610 6.749
angles (deg): 90.00 90.00 90.00
Fractional positions:
Hg 0.000 0.000 0.500
Hg 0.500 0.000 0.000
F 0.000 0.500 0.000
Li 0.500 0.500 0.500
I 0.000 0.000 0.000

=====

Verdict on stability: P comes out on top.

=====

## P
Below is crystalline HgIN2F at its relaxed geometry, with properties calculated at the GGA-PBE level.

Values from the calculation:
volume: 15.954 Å³ per atom
Fermi-level density of states: 2.76 states/eV/cell

a b c (Å): 4.122 4.695 4.122
angles (deg): 90.00 90.00 90.00
Fractional positions:
N 0.500 0.000 0.000
N 0.000 0.000 0.500
F 0.000 0.500 0.000
I 0.000 0.000 0.000
Hg 0.500 0.500 0.500

=====

## Q
Below is crystalline HgIN2F at its relaxed geometry, with properties calculated at the GGA-PBE level.

Values from the calculation:
volume: 18.454 Å³ per atom
Fermi-level density of states: 4.23 states/eV/cell

a b c (Å): 4.503 4.503 4.550
angles (deg): 90.00 90.00 90.00
Each line ends with the local moment (μB).
Fractional positions:
N 0.500 0.000 0.000  1.14
N 0.000 0.500 0.000  1.14
F 0.000 0.000 0.500  0.02
I 0.500 0.500 0.500  0.02
Hg 0.000 0.000 0.000  0.12

=====

Verdict on stability: P comes out on top.

=====

## P
Below is crystalline HgI2OF at its relaxed geometry, with properties calculated at the GGA-PBE level.

Values from the calculation:
volume: 22.468 Å³ per atom
Fermi-level density of states: 4.08 states/eV/cell

a b c (Å): 5.241 5.241 4.090
angles (deg): 90.00 90.00 90.00
Fractional positions:
I 0.500 0.000 0.000
I 0.000 0.500 0.000
Hg 0.500 0.500 0.500
F 0.000 0.000 0.000
O 0.000 0.000 0.500

=====

## Q
Below is crystalline HgI2OF at its relaxed geometry, with properties calculated at the GGA-PBE level.

Values from the calculation:
volume: 29.115 Å³ per atom
Fermi-level density of states: 13.99 states/eV/cell

a b c (Å): 5.992 5.992 4.054
angles (deg): 90.00 90.00 90.00
Each line ends with the local moment (μB).
Fractional positions:
I 0.000 0.500 0.000  -0.29
I 0.500 0.000 0.000  -0.29
F 0.500 0.500 0.500  0.25
O 0.000 0.000 0.500  -0.39
Hg 0.000 0.000 0.000  -0.05

=====

Verdict on stability: Q comes out on top.

=====

## P
Below is crystalline HgSbI2F at its relaxed geometry, with properties calculated at the GGA-PBE level.

Values from the calculation:
volume: 33.048 Å³ per atom
Fermi-level density of states: 0.99 states/eV/cell

a b c (Å): 6.092 6.092 4.452
angles (deg): 90.00 90.00 90.00
Fractional positions:
F 0.000 0.000 0.500
Hg 0.500 0.500 0.500
Sb 0.000 0.000 0.000
I 0.500 0.000 0.000
I 0.000 0.500 0.000

=====

## Q
Below is crystalline HgSbI2F at its relaxed geometry, with properties calculated at the GGA-PBE level.

Values from the calculation:
volume: 31.864 Å³ per atom
Fermi-level density of states: 3.55 states/eV/cell

a b c (Å): 6.141 6.141 4.225
angles (deg): 90.00 90.00 90.00
Fractional positions:
F 0.000 0.000 0.000
I 0.000 0.500 0.000
I 0.500 0.000 0.000
Sb 0.000 0.000 0.500
Hg 0.500 0.500 0.500

=====

Verdict on stability: P comes out on top.

=====

## P
Below is crystalline InHg2F6 at its relaxed geometry, with properties calculated at the GGA-PBE level.

Values from the calculation:
volume: 17.568 Å³ per atom
Fermi-level density of states: 2.80 states/eV/cell

a b c (Å): 5.415 5.415 10.785
angles (deg): 90.00 90.00 90.00
Fractional positions:
Hg 0.000 0.000 0.337
Hg 0.000 0.000 0.663
Hg 0.500 0.500 0.837
Hg 0.500 0.500 0.163
F 0.185 0.815 0.851
F 0.185 0.815 0.149
F 0.277 0.277 0.000
F 0.685 0.685 0.649
F 0.815 0.185 0.851
F 0.223 0.777 0.500
F 0.685 0.685 0.351
F 0.315 0.315 0.351
F 0.315 0.315 0.649
F 0.723 0.723 0.000
F 0.777 0.223 0.500
F 0.815 0.185 0.149
In 0.500 0.500 0.500
In 0.000 0.000 0.000

=====

## Q
Below is crystalline InHg2F6 at its relaxed geometry, with properties calculated at the GGA-PBE level.

Values from the calculation:
volume: 16.764 Å³ per atom
Fermi-level density of states: 3.82 states/eV/cell

a b c (Å): 5.911 5.756 9.348
angles (deg): 90.00 108.43 90.00
Fractional positions:
F 0.609 0.369 0.218
F 0.109 0.131 0.218
F 0.785 0.750 0.069
F 0.019 0.250 0.539
F 0.519 0.250 0.539
F 0.285 0.750 0.069
F 0.715 0.250 0.931
F 0.215 0.250 0.931
F 0.981 0.750 0.461
F 0.481 0.750 0.461
F 0.891 0.869 0.782
F 0.391 0.631 0.782
In 0.000 0.000 0.000
In 0.500 0.500 0.000
Hg 0.680 0.027 0.360
Hg 0.820 0.527 0.640
Hg 0.320 0.973 0.640
Hg 0.180 0.473 0.360

=====

Verdict on stability: P comes out on top.

=====

## P
Below is crystalline In2HgF2 at its relaxed geometry, with properties calculated at the GGA-PBE level.

Values from the calculation:
volume: 23.730 Å³ per atom
Fermi-level density of states: 0.03 states/eV/cell

a b c (Å): 4.062 4.062 7.745
angles (deg): 74.80 74.80 90.00
Fractional positions:
In 0.349 0.349 0.301
In 0.651 0.651 0.699
F 0.750 0.250 0.500
F 0.250 0.750 0.500
Hg 0.000 0.000 0.000

=====

## Q
Below is crystalline In2HgF2 at its relaxed geometry, with properties calculated at the GGA-PBE level.

Values from the calculation:
volume: 22.096 Å³ per atom
Fermi-level density of states: 0.41 states/eV/cell

a b c (Å): 3.887 3.887 7.312
angles (deg): 90.00 90.00 90.00
Fractional positions:
In 0.500 0.500 0.285
In 0.500 0.500 0.715
F 0.500 0.000 0.500
F 0.000 0.500 0.500
Hg 0.000 0.000 0.000

=====

Verdict on stability: P comes out on top.

=====

## P
Below is crystalline In3HgF at its relaxed geometry, with properties calculated at the GGA-PBE level.

Values from the calculation:
volume: 26.601 Å³ per atom
Fermi-level density of states: 2.98 states/eV/cell

a b c (Å): 5.105 5.105 5.105
angles (deg): 90.00 90.00 90.00
Fractional positions:
Hg 0.500 0.500 0.500
F 0.000 0.000 0.000
In 0.000 0.000 0.500
In 0.500 0.000 0.000
In 0.000 0.500 0.000

=====

## Q
Below is crystalline In3HgF at its relaxed geometry, with properties calculated at the GGA-PBE level.

Values from the calculation:
volume: 35.394 Å³ per atom
Fermi-level density of states: 3.39 states/eV/cell

a b c (Å): 5.614 5.614 5.614
angles (deg): 90.00 90.00 90.00
Fractional positions:
F 0.500 0.500 0.500
In 0.000 0.000 0.500
In 0.500 0.000 0.000
In 0.000 0.500 0.000
Hg 0.000 0.000 0.000

=====

Verdict on stability: P comes out on top.

=====

## P
Below is crystalline In3HgF3 at its relaxed geometry, with properties calculated at the GGA-PBE level.

Values from the calculation:
volume: 25.725 Å³ per atom

a b c (Å): 4.420 9.494 9.166
angles (deg): 110.56 90.00 90.00
Fractional positions:
In 0.250 0.998 0.177
In 0.250 0.315 0.912
In 0.750 0.358 0.284
In 0.750 0.685 0.088
In 0.250 0.642 0.716
In 0.750 0.002 0.823
F 0.250 0.304 0.162
F 0.750 0.090 0.109
F 0.750 0.696 0.838
F 0.750 0.422 0.041
F 0.250 0.910 0.892
F 0.250 0.578 0.959
Hg 0.750 0.741 0.473
Hg 0.250 0.259 0.527

=====

## Q
Below is crystalline In3HgF3 at its relaxed geometry, with properties calculated at the GGA-PBE level.

Values from the calculation:
volume: 28.315 Å³ per atom
Fermi-level density of states: 0.00 states/eV/cell

a b c (Å): 7.346 7.346 7.346
angles (deg): 90.00 90.00 90.00
Fractional positions:
Hg 0.500 0.500 0.500
Hg 0.000 0.000 0.000
F 0.500 0.250 0.000
F 0.000 0.500 0.750
F 0.750 0.000 0.500
F 0.250 0.000 0.500
F 0.000 0.500 0.250
F 0.500 0.750 0.000
In 0.750 0.500 0.000
In 0.000 0.750 0.500
In 0.500 0.000 0.250
In 0.500 0.000 0.750
In 0.250 0.500 0.000
In 0.000 0.250 0.500

=====

Verdict on stability: P comes out on top.

=====

## P
Below is crystalline InHgN2F at its relaxed geometry, with properties calculated at the GGA-PBE level.

Values from the calculation:
volume: 16.198 Å³ per atom
Fermi-level density of states: 1.98 states/eV/cell

a b c (Å): 4.353 4.353 4.273
angles (deg): 90.00 90.00 90.00
Each line ends with the local moment (μB).
Fractional positions:
N 0.000 0.500 0.000  0.85
N 0.500 0.000 0.000  0.85
F 0.000 0.000 0.500  0.00
Hg 0.500 0.500 0.500  -0.06
In 0.000 0.000 0.000  -0.01

=====

## Q
Below is crystalline InHgN2F at its relaxed geometry, with properties calculated at the GGA-PBE level.

Values from the calculation:
volume: 18.447 Å³ per atom
Fermi-level density of states: 2.64 states/eV/cell

a b c (Å): 4.295 4.295 5.000
angles (deg): 90.00 90.00 90.00
Each line ends with the local moment (μB).
Fractional positions:
In 0.500 0.500 0.500  0.11
Hg 0.000 0.000 0.000  0.14
N 0.000 0.500 0.000  1.05
N 0.500 0.000 0.000  1.05
F 0.000 0.000 0.500  0.04

=====

Verdict on stability: P comes out on top.